Computed, not measured: TlRu3S after structural relaxation at the PBE level of DFT.

Values from the calculation:
The formation energy without anion corrections comes out at 10.065 kcal/mol of atoms. The uncorrected energy is -6.428 eV/atom. As for the energy above the most stable polymorph in this dataset: 0 meV/atom.

Cell: 4.3889 4.3889 4.3889 Å, 90.00 90.00 90.00°
With the nearest neighbours (Å) after each atom.
Space group Pm-3m (No. 221)
Inequivalent atoms, fractional coordinates:
Tl (0.0000, 0.0000, 0.0000) (multiplicity 1)  12 Ru 3.10
Ru (0.0000, 0.5000, 0.5000) (multiplicity 3)  2 S 2.19
S (0.5000, 0.5000, 0.5000) (multiplicity 1)  6 Ru 2.19


Computed, not measured: MgPb4Se after structural relaxation at the PBE level of DFT.

Values from the calculation:
The formation energy without anion corrections comes out at 4.876 kcal/mol of atoms. The uncorrected energy is -3.107 eV/atom.

Cell: 9.0851 9.0851 9.0851 Å, 90.00 90.00 90.00°
With the nearest neighbours (Å) after each atom.
Space group F-43m (No. 216)
Inequivalent atoms, fractional coordinates:
Mg (0.0000, 0.0000, 0.0000) (multiplicity 4)  12 Pb 3.77, 4 Se 3.93
Pb (0.1255, 0.1255, 0.6255) (multiplicity 16)  6 Pb 3.20-3.22
Se (0.2500, 0.2500, 0.2500) (multiplicity 4)  12 Pb 3.77, 4 Mg 3.93


Computed, not measured: Mg12Tl6Pb after structural relaxation at the PBE level of DFT.

Values from the calculation:
The uncorrected energy is -1.906 eV/atom. The formation energy is 0.83 eV/f.u. As for the energy above the most stable polymorph in this dataset: 0 meV/atom.

Cell: 12.6692 12.6692 10.6482 Å, 90.00 90.00 120.00°
With the nearest neighbours (Å) after each atom.
Space group R-3 (No. 148, hexagonal axes)
Inequivalent atoms, fractional coordinates:
Mg (0.0093, 0.2621, 0.0027) (multiplicity 18)  3 Tl 3.09-3.25, 5 Mg 3.15-3.26, 1 Pb 3.26
Mg (0.0617, 0.5182, 0.1230) (multiplicity 18)  6 Mg 2.97-3.23, 2 Tl 3.18-3.26
Tl (0.0716, 0.1775, 0.7385) (multiplicity 18)  6 Mg 3.09-3.43, 2 Tl 3.39, 1 Pb 3.41
Pb (0.0000, 0.0000, 0.0000) (multiplicity 3)  6 Mg 3.26, 6 Tl 3.41


Please write out number 2 again, unchanged.
Computed, not measured: MgPb4Se after structural relaxation at the PBE level of DFT.

Values from the calculation:
The formation energy without anion corrections comes out at 4.876 kcal/mol of atoms. The uncorrected energy is -3.107 eV/atom.

Cell: 9.0851 9.0851 9.0851 Å, 90.00 90.00 90.00°
With the nearest neighbours (Å) after each atom.
Space group F-43m (No. 216)
Inequivalent atoms, fractional coordinates:
Mg (0.0000, 0.0000, 0.0000) (multiplicity 4)  12 Pb 3.77, 4 Se 3.93
Pb (0.1255, 0.1255, 0.6255) (multiplicity 16)  6 Pb 3.20-3.22
Se (0.2500, 0.2500, 0.2500) (multiplicity 4)  12 Pb 3.77, 4 Mg 3.93


Among the records above, which one has the lowest uncorrected energy?
TlRu3S